# 1
An optimized crystal structure of Cs2NpRuO6, computed with GGA-PBE. Values from VASP.

Geometry as Quantum ESPRESSO input:
```
&SYSTEM
  ibrav = 0, nat = 10, ntyp = 4
/
ATOMIC_SPECIES
Cs 132.91 Cs.upf
Np 237.00 Np.upf
Ru 101.07 Ru.upf
O 16.00 O.upf
CELL_PARAMETERS angstrom
-2.9820 2.9820 4.3094
2.9820 -2.9820 4.3094
2.9820 2.9820 -4.3094
ATOMIC_POSITIONS crystal
Cs 0.2500 0.7500 0.5000
Cs 0.7500 0.2500 0.5000
Np 0.0000 0.0000 0.0000
Ru 0.5000 0.5000 0.0000
O 0.2433 0.2433 0.4866
O 0.2433 0.7567 0.0000
O 0.2758 0.2758 0.0000
O 0.7242 0.7242 0.0000
O 0.7567 0.2433 0.0000
O 0.7567 0.7567 0.5134
```

Results
Formation energy without anion corrections: -1.782 eV per atom

---

# 2
An optimized crystal structure of PrGeAu2, computed with GGA-PBE. Values from VASP.

Geometry as Quantum ESPRESSO input:
```
&SYSTEM
  ibrav = 0, nat = 4, ntyp = 3
/
ATOMIC_SPECIES
Pr 140.91 Pr.upf
Ge 72.64 Ge.upf
Au 196.97 Au.upf
CELL_PARAMETERS angstrom
4.5333 0.0000 0.0000
0.0000 4.5333 0.0000
0.0000 0.0000 4.3263
ATOMIC_POSITIONS crystal
Pr 0.0000 0.0000 0.0000
Ge 0.5000 0.5000 0.0000
Au 0.0000 0.5000 0.5000
Au 0.5000 0.0000 0.5000
```

---

# 3
An optimized crystal structure of Ba4Cu2Si21, computed with GGA-PBE. Values from VASP.

Geometry as Quantum ESPRESSO input:
```
&SYSTEM
  ibrav = 0, nat = 54, ntyp = 3
/
ATOMIC_SPECIES
Ba 137.33 Ba.upf
Cu 63.55 Cu.upf
Si 28.09 Si.upf
CELL_PARAMETERS angstrom
10.3584 0.0000 0.0000
0.0000 7.3507 7.3560
0.0000 -7.3507 7.3560
ATOMIC_POSITIONS crystal
Ba 0.0000 0.0000 0.0000
Ba 0.2500 0.2721 0.5235
Ba 0.2500 0.5139 0.0116
Ba 0.2500 0.7528 0.5243
Ba 0.5000 0.0000 0.0000
Ba 0.7500 0.0116 0.5139
Ba 0.7500 0.5235 0.2721
Ba 0.7500 0.5243 0.7528
Cu 0.0000 0.5137 0.5137
Cu 0.2500 0.0116 0.7625
Cu 0.5000 0.5137 0.5137
Cu 0.7500 0.7625 0.0116
Si 0.0568 0.0134 0.3955
Si 0.0631 0.0135 0.6344
Si 0.0649 0.6947 0.1985
Si 0.0650 0.6958 0.8298
Si 0.0664 0.3262 0.8296
Si 0.0662 0.3283 0.1992
Si 0.1288 0.5114 0.7048
Si 0.1303 0.5118 0.3244
Si 0.2500 0.0126 0.2629
Si 0.2500 0.1982 0.8917
Si 0.2500 0.2052 0.1288
Si 0.2500 0.8178 0.1307
Si 0.2500 0.8234 0.8894
Si 0.3697 0.5118 0.3244
Si 0.3712 0.5114 0.7048
Si 0.4336 0.3262 0.8296
Si 0.4338 0.3283 0.1992
Si 0.4351 0.6947 0.1985
Si 0.4350 0.6958 0.8298
Si 0.4369 0.0135 0.6344
Si 0.4432 0.0134 0.3955
Si 0.5568 0.3955 0.0134
Si 0.5631 0.6344 0.0135
Si 0.5649 0.1985 0.6947
Si 0.5650 0.8298 0.6958
Si 0.5662 0.1992 0.3283
Si 0.5664 0.8296 0.3262
Si 0.6288 0.7048 0.5114
Si 0.6303 0.3244 0.5118
Si 0.7500 0.1288 0.2052
Si 0.7500 0.1307 0.8178
Si 0.7500 0.2629 0.0126
Si 0.7500 0.8894 0.8234
Si 0.7500 0.8917 0.1982
Si 0.8697 0.3244 0.5118
Si 0.8712 0.7048 0.5114
Si 0.9338 0.1992 0.3283
Si 0.9336 0.8296 0.3262
Si 0.9351 0.1985 0.6947
Si 0.9350 0.8298 0.6958
Si 0.9369 0.6344 0.0135
Si 0.9432 0.3955 0.0134
```

Results
Formation energy without anion corrections: -0.204 eV per atom

---

# 4
An optimized crystal structure of Ba2AgTe4, computed with GGA-PBE. Values from VASP.

Geometry as Quantum ESPRESSO input:
```
&SYSTEM
  ibrav = 0, nat = 7, ntyp = 3
/
ATOMIC_SPECIES
Ba 137.33 Ba.upf
Ag 107.87 Ag.upf
Te 127.60 Te.upf
CELL_PARAMETERS angstrom
4.6383 0.0000 0.0000
0.0000 4.6383 0.0000
0.0000 0.0000 11.5097
ATOMIC_POSITIONS crystal
Ba 0.0000 0.5000 0.2471
Ba 0.5000 0.0000 0.7529
Ag 0.5000 0.5000 0.0000
Te 0.0000 0.0000 0.5000
Te 0.0000 0.5000 0.8569
Te 0.5000 0.0000 0.1431
Te 0.5000 0.5000 0.5000
```

Results
Formation energy without anion corrections: -1.034 eV per atom

---

# 5
An optimized crystal structure of LaY4Tc, computed with GGA-PBE. Values from VASP.

Geometry as Quantum ESPRESSO input:
```
&SYSTEM
  ibrav = 0, nat = 6, ntyp = 3
/
ATOMIC_SPECIES
La 138.91 La.upf
Y 88.91 Y.upf
Tc 98.00 Tc.upf
CELL_PARAMETERS angstrom
0.0000 4.4439 4.4439
4.4439 0.0000 4.4439
4.4439 4.4439 0.0000
ATOMIC_POSITIONS crystal
La 0.0000 0.0000 0.0000
Y 0.3762 0.3762 0.3762
Y 0.3762 0.3762 0.8714
Y 0.3762 0.8714 0.3762
Y 0.8714 0.3762 0.3762
Tc 0.7500 0.7500 0.7500
```

---

# 6
An optimized crystal structure of YErZr2As4, computed with GGA-PBE. Values from VASP.

Geometry as Quantum ESPRESSO input:
```
&SYSTEM
  ibrav = 0, nat = 8, ntyp = 4
/
ATOMIC_SPECIES
Y 88.91 Y.upf
Er 167.26 Er.upf
Zr 91.22 Zr.upf
As 74.92 As.upf
CELL_PARAMETERS angstrom
6.8617 0.0000 0.0000
0.0000 3.9576 0.0000
-2.2944 0.0000 6.5544
ATOMIC_POSITIONS crystal
Y 0.0000 0.0000 0.0000
Er 0.5000 0.5000 0.0000
Zr 0.0000 0.5000 0.5000
Zr 0.5000 0.0000 0.5000
As 0.2476 0.0000 0.7387
As 0.2555 0.5000 0.2623
As 0.7445 0.5000 0.7377
As 0.7524 0.0000 0.2613
```

---

E list, top to bottom, in eV/atom: -7.15 -4.45 -5.01 -3.79 -6.10 -7.16